No. 1
First-principles (GGA-PBEsol) data for a geometry-optimized Ce2MgPb structure, as listed in the Alexandria database.

## Properties
As for the space group: Fm-3m, No. 225.

Lattice parameters (Å, degrees): 7.6292 7.6292 7.6292 90.00 90.00 90.00
With the nearest neighbours (Å) after each atom.
Element x y z (fractional)
Ce 0.2500 0.2500 0.2500  4 Pb 3.30, 4 Mg 3.30
Ce 0.2500 0.2500 0.7500  4 Pb 3.30, 4 Mg 3.30
Ce 0.2500 0.7500 0.2500  4 Pb 3.30, 4 Mg 3.30
Ce 0.2500 0.7500 0.7500  4 Pb 3.30, 4 Mg 3.30
Ce 0.7500 0.2500 0.2500  4 Pb 3.30, 4 Mg 3.30
Ce 0.7500 0.2500 0.7500  4 Pb 3.30, 4 Mg 3.30
Ce 0.7500 0.7500 0.2500  4 Pb 3.30, 4 Mg 3.30
Ce 0.7500 0.7500 0.7500  4 Pb 3.30, 4 Mg 3.30
Mg 0.0000 0.0000 0.0000  8 Ce 3.30
Mg 0.0000 0.5000 0.5000  8 Ce 3.30
Mg 0.5000 0.0000 0.5000  8 Ce 3.30
Mg 0.5000 0.5000 0.0000  8 Ce 3.30
Pb 0.0000 0.0000 0.5000  8 Ce 3.30
Pb 0.0000 0.5000 0.0000  8 Ce 3.30
Pb 0.5000 0.0000 0.0000  8 Ce 3.30
Pb 0.5000 0.5000 0.5000  8 Ce 3.30



No. 2
First-principles (GGA-PBEsol) data for a geometry-optimized CeMgPd structure, as listed in the Alexandria database.

## Properties
As for the space group: P-62m, No. 189.

Lattice parameters (Å, degrees): 7.4631 7.4631 4.0427 90.00 90.00 120.00
With the nearest neighbours (Å) after each atom.
Element x y z (fractional)
Ce 0.0000 0.4171 0.0000  5 Pd 3.02-3.11, 6 Mg 3.26-3.38
Ce 0.4171 0.0000 0.0000  5 Pd 3.02-3.11, 6 Mg 3.26-3.38
Ce 0.5829 0.5829 0.0000  5 Pd 3.02-3.11, 6 Mg 3.26-3.38
Mg 0.0000 0.7596 0.5000  4 Pd 2.70-2.90
Mg 0.2404 0.2404 0.5000  4 Pd 2.70-2.90
Mg 0.7596 0.0000 0.5000  4 Pd 2.70-2.90
Pd 0.0000 0.0000 0.0000  6 Mg 2.70
Pd 0.3333 0.6667 0.5000  3 Mg 2.90, 6 Ce 3.02
Pd 0.6667 0.3333 0.5000  3 Mg 2.90, 6 Ce 3.02



No. 3
First-principles (GGA-PBEsol) data for a geometry-optimized CePmMg2 structure, as listed in the Alexandria database.

## Properties
As for the space group: Fm-3m, No. 225.

Lattice parameters (Å, degrees): 7.5906 7.5906 7.5906 90.00 90.00 90.00
With the nearest neighbours (Å) after each atom.
Element x y z (fractional)
Ce 0.0000 0.0000 0.0000  8 Mg 3.29
Ce 0.0000 0.5000 0.5000  8 Mg 3.29
Ce 0.5000 0.0000 0.5000  8 Mg 3.29
Ce 0.5000 0.5000 0.0000  8 Mg 3.29
Pm 0.0000 0.0000 0.5000  8 Mg 3.29
Pm 0.0000 0.5000 0.0000  8 Mg 3.29
Pm 0.5000 0.0000 0.0000  8 Mg 3.29
Pm 0.5000 0.5000 0.5000  8 Mg 3.29
Mg 0.2500 0.2500 0.2500  4 Ce 3.29, 4 Pm 3.29
Mg 0.2500 0.2500 0.7500  4 Ce 3.29, 4 Pm 3.29
Mg 0.2500 0.7500 0.2500  4 Ce 3.29, 4 Pm 3.29
Mg 0.2500 0.7500 0.7500  4 Ce 3.29, 4 Pm 3.29
Mg 0.7500 0.2500 0.2500  4 Ce 3.29, 4 Pm 3.29
Mg 0.7500 0.2500 0.7500  4 Ce 3.29, 4 Pm 3.29
Mg 0.7500 0.7500 0.2500  4 Ce 3.29, 4 Pm 3.29
Mg 0.7500 0.7500 0.7500  4 Ce 3.29, 4 Pm 3.29



Total DFT energy (no corrections) values, unit eV/atom, following the record order: -4.80; -5.23; -3.74.
ΔE_f values, unit eV per formula unit, following the record order: -0.29; -1.43; 0.19.